Record 1
A plane-wave DFT calculation with PBE was carried out for a geometry-optimized Tm6FeBi structure.

## Properties
DFT total energy: -39.7 eV/cell

CIF file:
```
data_Tm6FeBi
_cell_length_a 6.235
_cell_length_b 6.235
_cell_length_c 6.235
_cell_angle_alpha 100.22
_cell_angle_beta 100.22
_cell_angle_gamma 100.34
_space_group_name_H-M_alt 'P 1'
_space_group_IT_number 1
loop_
_space_group_symop_operation_xyz
'x,y,z'
loop_
_atom_site_label
_atom_site_fract_x
_atom_site_fract_y
_atom_site_fract_z
_atom_site_occupancy
Tm1 0.408 0.786 0.786 1
Tm2 0.214 0.592 0.214 1
Tm3 0.592 0.214 0.214 1
Tm4 0.214 0.214 0.593 1
Tm5 0.786 0.408 0.786 1
Tm6 0.786 0.786 0.407 1
Bi1 0.000 0.000 0.000 1
Fe1 0.500 0.500 0.500 1
```


Record 2
A plane-wave DFT calculation with PBE was carried out for a geometry-optimized Sm5Te4Ir structure.

## Properties
Excess energy over the best structure of this formula in the dataset: 0.000 eV per atom
Formation energy from raw total energies: -1.26 eV per atom

CIF file:
```
data_Sm5Te4Ir
_cell_length_a 6.272
_cell_length_b 7.654
_cell_length_c 7.654
_cell_angle_alpha 80.34
_cell_angle_beta 65.81
_cell_angle_gamma 65.81
_space_group_name_H-M_alt 'P 1'
_space_group_IT_number 1
loop_
_space_group_symop_operation_xyz
'x,y,z'
loop_
_atom_site_label
_atom_site_fract_x
_atom_site_fract_y
_atom_site_fract_z
_atom_site_occupancy
Te1 0.810 0.780 0.603 1
Te2 0.590 0.603 0.220 1
Te3 0.413 0.397 0.780 1
Te4 0.192 0.220 0.397 1
Sm1 0.501 0.000 0.000 1
Sm2 0.094 0.643 0.170 1
Sm3 0.908 0.357 0.830 1
Sm4 0.738 0.170 0.357 1
Sm5 0.264 0.830 0.643 1
Ir1 0.001 0.000 0.000 1
```


Record 3
A plane-wave DFT calculation with PBE was carried out for a geometry-optimized Ca2Sc3Pt4 structure.

## Properties
DFT total energy: -114.0 eV/cell

CIF file:
```
data_Ca2Sc3Pt4
_cell_length_a 7.401
_cell_length_b 7.415
_cell_length_c 7.411
_cell_angle_alpha 90.00
_cell_angle_beta 90.00
_cell_angle_gamma 110.94
_space_group_name_H-M_alt 'P 1'
_space_group_IT_number 1
loop_
_space_group_symop_operation_xyz
'x,y,z'
loop_
_atom_site_label
_atom_site_fract_x
_atom_site_fract_y
_atom_site_fract_z
_atom_site_occupancy
Pt1 0.631 0.493 0.637 1
Pt2 0.132 0.905 0.452 1
Pt3 0.868 0.095 0.548 1
Pt4 0.632 0.905 0.048 1
Pt5 0.368 0.095 0.952 1
Pt6 0.131 0.493 0.863 1
Pt7 0.869 0.507 0.137 1
Pt8 0.369 0.507 0.363 1
Sc1 0.749 0.249 0.836 1
Sc2 0.000 0.500 0.500 1
Sc3 0.249 0.249 0.664 1
Sc4 0.500 0.500 0.000 1
Sc5 0.251 0.751 0.164 1
Sc6 0.751 0.751 0.336 1
Ca1 0.064 0.190 0.172 1
Ca2 0.564 0.190 0.328 1
Ca3 0.936 0.810 0.828 1
Ca4 0.436 0.810 0.672 1
```


Record 4
A plane-wave DFT calculation with PBE was carried out for a geometry-optimized AlSiAu structure.

## Properties
Formation energy from raw total energies: 0.67 eV per atom

CIF file:
```
data_AlSiAu
_cell_length_a 4.291
_cell_length_b 4.291
_cell_length_c 9.651
_cell_angle_alpha 90.00
_cell_angle_beta 90.00
_cell_angle_gamma 120.00
_space_group_name_H-M_alt 'P 1'
_space_group_IT_number 1
loop_
_space_group_symop_operation_xyz
'x,y,z'
loop_
_atom_site_label
_atom_site_fract_x
_atom_site_fract_y
_atom_site_fract_z
_atom_site_occupancy
Al1 0.000 0.000 0.250 1
Al2 0.000 0.000 0.750 1
Si1 0.000 0.000 0.000 1
Si2 0.000 0.000 0.500 1
Au1 0.667 0.333 0.750 1
Au2 0.333 0.667 0.250 1
```